Record 1
# LaPbOF2, optimized geometry, DFT PBE-GGA
data_LaPbOF2
_cell_length_a 4.762
_cell_length_b 4.762
_cell_length_c 4.620
_cell_angle_alpha 90.00
_cell_angle_beta 90.00
_cell_angle_gamma 90.00
_space_group_name_H-M_alt 'P 4/m m m'
_space_group_IT_number 123
_space_group_name_Hall '-P 4 2'
loop_
_atom_site_label
_atom_site_type_symbol
_atom_site_fract_x
_atom_site_fract_y
_atom_site_fract_z
La1 La 0.000 0.000 0.000
Pb1 Pb 0.500 0.500 0.500
O1 O 0.000 0.000 0.500
F1 F 0.000 0.500 0.000
# raw formation energy	-12.7	eV/f.u.
# energy above the lowest structure with this stoichiometry	0	meV per atom

Record 2
# NiH3W, optimized geometry, DFT PBE-GGA
data_NiH3W
_cell_length_a 3.237
_cell_length_b 3.237
_cell_length_c 3.237
_cell_angle_alpha 90.00
_cell_angle_beta 90.00
_cell_angle_gamma 90.00
_space_group_name_H-M_alt 'P m -3 m'
_space_group_IT_number 221
_space_group_name_Hall '-P 4 2 3'
loop_
_atom_site_label
_atom_site_type_symbol
_atom_site_fract_x
_atom_site_fract_y
_atom_site_fract_z
Ni1 Ni 0.000 0.000 0.000
H1 H 0.000 0.000 0.500
W1 W 0.500 0.500 0.500
# energy above the lowest structure with this stoichiometry	0	meV per atom

Record 3
# BiTeSeS2, optimized geometry, DFT PBE-GGA
data_BiTeSeS2
_cell_length_a 4.758
_cell_length_b 4.758
_cell_length_c 5.895
_cell_angle_alpha 90.00
_cell_angle_beta 90.00
_cell_angle_gamma 90.00
_space_group_name_H-M_alt 'P 4/m m m'
_space_group_IT_number 123
_space_group_name_Hall '-P 4 2'
loop_
_atom_site_label
_atom_site_type_symbol
_atom_site_fract_x
_atom_site_fract_y
_atom_site_fract_z
Bi1 Bi 0.000 0.000 0.000
Te1 Te 0.500 0.500 0.000
Se1 Se 0.000 0.000 0.500
S1 S 0.000 0.500 0.500
# raw formation energy	2.5	eV/f.u.

Record 4
# SrTi2AsO8, optimized geometry, DFT PBE-GGA
data_SrTi2AsO8
_cell_length_a 8.171
_cell_length_b 5.897
_cell_length_c 7.051
_cell_angle_alpha 90.00
_cell_angle_beta 104.18
_cell_angle_gamma 90.00
_space_group_name_H-M_alt 'C 1 2/m 1'
_space_group_IT_number 12
loop_
_space_group_symop_operation_xyz
'x,y,z'
'-x,-y,-z'
'-x,y,-z'
'x,-y,z'
'x+1/2,y+1/2,z'
'-x+1/2,-y+1/2,-z'
'-x+1/2,y+1/2,-z'
'x+1/2,-y+1/2,z'
loop_
_atom_site_label
_atom_site_type_symbol
_atom_site_fract_x
_atom_site_fract_y
_atom_site_fract_z
Sr1 Sr 0.000 0.000 0.000
Ti1 Ti 0.077 0.500 0.269
As1 As 0.000 0.000 0.500
O1 O 0.015 0.218 0.694
O2 O 0.140 0.500 0.035
O3 O 0.230 0.000 0.547
# raw formation energy	-26.9	eV/f.u.

The calculation returns the following total energy values, one per record and in order: -6.01, -5.40, -3.26, -7.39 eV per atom.